IrN2O2 | GGA-PBE | optimized geometry

Properties
polymorph energy (0 for the lowest one): 931 meV/atom
symmetry: P4/mmm
spin magnetization: 0.0 μB/cell
energy relative to the elements, uncorrected: 2325 meV per atom

abc: 3.585 3.585 3.427
angles: 90.00 90.00 90.00
Sites, in units of the cell vectors:
Ir 0.000 0.000 0.000
N 0.000 0.500 0.500
N 0.500 0.000 0.500
O 0.500 0.500 0.000
O 0.500 0.500 0.500